The following is a GGA-PBE calculation of a relaxed structure of AuSe2Cl2, from Alexandria via LeMat-Bulk.

a = 5.5854 Å, b = 5.5854 Å, c = 9.4908 Å
α = 90.00°, β = 90.00°, γ = 90.00°
Fractional positions:
Au  0.0000  0.0000  0.0000
Au  0.5000  0.5000  0.5000
Se  0.0000  0.5000  0.2500
Se  0.0000  0.5000  0.7500
Se  0.5000  0.0000  0.2500
Se  0.5000  0.0000  0.7500
Cl  0.0000  0.0000  0.2453
Cl  0.0000  0.0000  0.7547
Cl  0.5000  0.5000  0.2547
Cl  0.5000  0.5000  0.7453

Values from the calculation:
Density of states at the Fermi level, states/eV/f.u.: 4.39
Calculated volume, Å³ per atom: 29.61
Formation energy without anion corrections, eV per atom: 0.602
Energy, eV for the cell shown: -21.86
SG: No. 139